A geometry-optimized SrLa2ZrTl structure. Source: Alexandria via LeMat-Bulk, functional GGA-PBE.

a b c (Å): 5.6625 5.6625 5.7448
angles (deg): 90.00 90.00 90.00
Space group P4/mmm (No. 123)
Inequivalent atoms, fractional coordinates:
Sr 0.0000 0.0000 0.0000
La 0.0000 0.5000 0.0000
Zr 0.5000 0.5000 0.5000
Tl 0.0000 0.0000 0.5000

Calculated values
Energy of formation from the pure elements in meV/atom: 1255
Total moment in μB per formula unit: 0.00

A geometry-optimized SrLaTm2 structure. Source: Alexandria via LeMat-Bulk, functional GGA-PBE.

a b c (Å): 3.7384 3.7384 10.4618
angles (deg): 90.00 90.00 90.00
Space group P4/mmm (No. 123)
Inequivalent atoms, fractional coordinates:
Sr 0.0000 0.0000 0.0000
La 0.0000 0.0000 0.5000
Tm 0.5000 0.5000 0.2750

Calculated values
Relative energy among the computed polymorphs in meV/atom: 12
Energy of formation from the pure elements in meV/atom: 150
Total moment in μB per formula unit: 0.01